(1)
GaCo2Ni (GGA-PBEsol, relaxed); formation energy = -0.158 eV per atom
1.0
-1.770 1.770 3.501
1.770 -1.770 3.501
1.770 1.770 -3.501
Ga Co Ni
1 2 1
Direct
0.000 0.000 0.000
0.250 0.750 0.500
0.750 0.250 0.500
0.500 0.500 0.000

---

(2)
MnZn (GGA-PBEsol, relaxed); formation energy = 0.074 eV per atom
1.0
1.269 0.732 8.471
-1.269 0.732 8.471
0.000 -1.465 8.471
Mn Zn
2 2
Direct
0.131 0.131 0.131
0.869 0.869 0.869
0.380 0.380 0.380
0.620 0.620 0.620

---

(3)
Sr3CaC (GGA-PBEsol, relaxed); formation energy = 0.379 eV per atom
1.0
5.598 0.000 0.000
0.000 5.598 0.000
0.000 0.000 5.598
Sr Ca C
3 1 1
Direct
0.000 0.000 0.500
0.000 0.500 0.000
0.500 0.000 0.000
0.500 0.500 0.500
0.000 0.000 0.000